*P*
Entry from Alexandria via LeMat-Bulk: crystalline YAs3O at its relaxed geometry (PBE-GGA).

Computed properties:
DOS at the Fermi energy: 0.420 states/eV/atom
Space group: No. 221

a b c (Å): 4.483 4.483 4.483
angles (deg): 90.00 90.00 90.00
Atoms (fractional coordinates):
1 Y 0.000 0.000 0.000
2 As 0.000 0.500 0.500
3 As 0.500 0.000 0.500
4 As 0.500 0.500 0.000
5 O 0.500 0.500 0.500


*Q*
Entry from Alexandria via LeMat-Bulk: crystalline YAs3O at its relaxed geometry (PBE-GGA).

Computed properties:
DOS at the Fermi energy: 5.044 states/eV/atom
Space group: No. 221

a b c (Å): 5.399 5.399 5.399
angles (deg): 90.00 90.00 90.00
Atoms (fractional coordinates):
1 Y 0.000 0.000 0.000
2 As 0.000 0.000 0.500
3 As 0.000 0.500 0.000
4 As 0.500 0.000 0.000
5 O 0.500 0.500 0.500


Energy comparison, zero being the most stable, in eV/atom: *P* 0.000; *Q* 1.565.